# 1
Computed, not measured: a PBEsol-optimized structure of Mn2ZnI at the SCAN level of DFT.

Cell lengths 5.999, 5.999, 5.999 Å; angles 90.00, 90.00, 90.00 degrees
Space group Fm-3m (No. 225)
Asymmetric unit:
Mn 0.250 0.250 0.250 x8
Zn 0.000 0.000 0.000 x4
I 0.000 0.000 0.500 x4



# 2
Computed, not measured: a PBEsol-optimized structure of ZrMn3I at the SCAN level of DFT.

Cell lengths 4.631, 4.631, 4.631 Å; angles 90.00, 90.00, 90.00 degrees
Space group Pm-3m (No. 221)
Asymmetric unit:
Zr 0.000 0.000 0.000 x1
Mn 0.000 0.500 0.500 x3
I 0.500 0.500 0.500 x1



# 3
Computed, not measured: a PBEsol-optimized structure of Mo3I at the SCAN level of DFT.

Cell lengths 6.431, 6.431, 6.431 Å; angles 90.00, 90.00, 90.00 degrees
Space group Fm-3m (No. 225)
Asymmetric unit:
Mo 0.000 0.000 0.000 x4
Mo 0.250 0.250 0.250 x8
I 0.000 0.000 0.500 x4



# 4
Computed, not measured: a PBEsol-optimized structure of MoI2N2 at the SCAN level of DFT.

Cell lengths 4.078, 4.078, 5.766 Å; angles 90.00, 90.00, 90.00 degrees
Space group P4/mmm (No. 123)
Asymmetric unit:
Mo 0.000 0.000 0.000 x1
I 0.000 0.000 0.500 x1
I 0.500 0.500 0.500 x1
N 0.000 0.500 0.000 x2



# 5
Computed, not measured: a PBEsol-optimized structure of MoIN2 at the SCAN level of DFT.

Cell lengths 8.489, 8.489, 8.489 Å; angles 90.00, 90.00, 90.00 degrees
Space group Fd-3m (No. 227, origin choice 2)
Asymmetric unit:
Mo 0.125 0.125 0.125 x8
I 0.125 0.125 0.625 x8
N 0.000 0.000 0.000 x16



# 6
Computed, not measured: a PBEsol-optimized structure of MoIN2O at the SCAN level of DFT.

Cell lengths 4.089, 4.089, 3.804 Å; angles 90.00, 90.00, 90.00 degrees
Space group P4/mmm (No. 123)
Asymmetric unit:
Mo 0.000 0.000 0.000 x1
I 0.500 0.500 0.500 x1
N 0.000 0.500 0.000 x2
O 0.000 0.000 0.500 x1



Calculated values (eV/atom) of energy relative to the elements, uncorrected for the records, taken in order: 0.993 1.053 0.986 0.874 0.081 0.390.